# 1
# La4Si2Br3 GGA-PBE optimized geometry
# - SG = C2/m, No. 12
# - E_form (uncorrected) (eV/atom) = -1.3126
# - energy (Ry per atom) = -0.3870
data_La4Si2Br3
_symmetry_space_group_name_H-M 'P 1'
_symmetry_Int_Tables_number 1
_cell_length_a 4.391
_cell_length_b 4.391
_cell_length_c 18.057
_cell_angle_alpha 90.06
_cell_angle_beta 89.94
_cell_angle_gamma 120.00
loop_
_symmetry_equiv_pos_as_xyz
'x,y,z'
loop_
_atom_site_label
_atom_site_fract_x
_atom_site_fract_y
_atom_site_fract_z
_atom_site_occupancy
La1 0.334 0.666 0.886 1
La2 0.999 0.001 0.297 1
La3 0.001 0.999 0.703 1
La4 0.666 0.334 0.114 1
Si1 0.667 0.333 0.798 1
Si2 0.333 0.667 0.202 1
Br1 0.666 0.334 0.397 1
Br2 0.000 0.000 0.000 1
Br3 0.334 0.666 0.603 1

# 2
# La2SiBr GGA-PBE optimized geometry
# - SG = Amm2, No. 38
# - ΔE to the lowest computed polymorph (meV/atom) = 251.7
# - E_form (uncorrected) (eV/atom) = -0.8990
# - energy (Ry per atom) = -0.3775
data_La2SiBr
_symmetry_space_group_name_H-M 'P 1'
_symmetry_Int_Tables_number 1
_cell_length_a 6.270
_cell_length_b 6.270
_cell_length_c 4.745
_cell_angle_alpha 90.00
_cell_angle_beta 90.00
_cell_angle_gamma 37.29
loop_
_symmetry_equiv_pos_as_xyz
'x,y,z'
loop_
_atom_site_label
_atom_site_fract_x
_atom_site_fract_y
_atom_site_fract_z
_atom_site_occupancy
Br1 0.744 0.744 0.875 1
La1 0.996 0.996 0.875 1
La2 0.251 0.251 0.375 1
Si1 0.509 0.509 0.375 1

# 3
# La2SiBr GGA-PBE optimized geometry
# - SG = Cmmm, No. 65
# - ΔE to the lowest computed polymorph (meV/atom) = 203.6
# - E_form (uncorrected) (eV/atom) = -0.9471
# - energy (Ry per atom) = -0.3811
data_La2SiBr
_symmetry_space_group_name_H-M 'P 1'
_symmetry_Int_Tables_number 1
_cell_length_a 3.657
_cell_length_b 3.657
_cell_length_c 8.138
_cell_angle_alpha 90.00
_cell_angle_beta 90.00
_cell_angle_gamma 95.60
loop_
_symmetry_equiv_pos_as_xyz
'x,y,z'
loop_
_atom_site_label
_atom_site_fract_x
_atom_site_fract_y
_atom_site_fract_z
_atom_site_occupancy
Br1 0.500 0.500 0.750 1
La1 0.000 0.000 0.029 1
La2 0.000 0.000 0.471 1
Si1 0.500 0.500 0.250 1

# 4
# LaSiBr2 GGA-PBE optimized geometry
# - SG = C2/m, No. 12
# - ΔE to the lowest computed polymorph (meV/atom) = 225.4
# - E_form (uncorrected) (eV/atom) = -0.6843
# - energy (Ry per atom) = -0.3020
data_LaSiBr2
_symmetry_space_group_name_H-M 'P 1'
_symmetry_Int_Tables_number 1
_cell_length_a 6.114
_cell_length_b 4.774
_cell_length_c 4.810
_cell_angle_alpha 92.44
_cell_angle_beta 65.80
_cell_angle_gamma 114.03
loop_
_symmetry_equiv_pos_as_xyz
'x,y,z'
loop_
_atom_site_label
_atom_site_fract_x
_atom_site_fract_y
_atom_site_fract_z
_atom_site_occupancy
Br1 0.000 0.000 0.000 1
Br2 0.000 0.500 0.500 1
La1 0.500 0.500 0.000 1
Si1 0.500 0.000 0.500 1

# 5
# LaSiBr2 GGA-PBE optimized geometry
# - SG = Fm-3m, No. 225
# - ΔE to the lowest computed polymorph (meV/atom) = 392.1
# - E_form (uncorrected) (eV/atom) = -0.5175
# - energy (Ry per atom) = -0.2897
data_LaSiBr2
_symmetry_space_group_name_H-M 'P 1'
_symmetry_Int_Tables_number 1
_cell_length_a 5.266
_cell_length_b 5.266
_cell_length_c 5.266
_cell_angle_alpha 60.00
_cell_angle_beta 60.00
_cell_angle_gamma 60.00
loop_
_symmetry_equiv_pos_as_xyz
'x,y,z'
loop_
_atom_site_label
_atom_site_fract_x
_atom_site_fract_y
_atom_site_fract_z
_atom_site_occupancy
Si1 0.000 0.000 0.000 1
Br1 0.250 0.250 0.250 1
Br2 0.750 0.750 0.750 1
La1 0.500 0.500 0.500 1

# 6
# LaSiBr2 GGA-PBE optimized geometry
# - SG = R-3m, No. 166
# - ΔE to the lowest computed polymorph (meV/atom) = 428.3
# - E_form (uncorrected) (eV/atom) = -0.4813
# - energy (Ry per atom) = -0.2870
data_LaSiBr2
_symmetry_space_group_name_H-M 'P 1'
_symmetry_Int_Tables_number 1
_cell_length_a 10.488
_cell_length_b 10.488
_cell_length_c 10.488
_cell_angle_alpha 20.37
_cell_angle_beta 20.37
_cell_angle_gamma 20.37
loop_
_symmetry_equiv_pos_as_xyz
'x,y,z'
loop_
_atom_site_label
_atom_site_fract_x
_atom_site_fract_y
_atom_site_fract_z
_atom_site_occupancy
Br1 0.986 0.986 0.986 1
Br2 0.514 0.514 0.514 1
La1 0.250 0.250 0.250 1
Si1 0.750 0.750 0.750 1

# 7
# La6SiBr8 GGA-PBE optimized geometry
# - SG = R-3, No. 148
# - E_form (uncorrected) (eV/atom) = -1.5927
# - energy (Ry per atom) = -0.3541
data_La6SiBr8
_symmetry_space_group_name_H-M 'P 1'
_symmetry_Int_Tables_number 1
_cell_length_a 7.507
_cell_length_b 7.507
_cell_length_c 11.598
_cell_angle_alpha 71.12
_cell_angle_beta 71.12
_cell_angle_gamma 60.00
loop_
_symmetry_equiv_pos_as_xyz
'x,y,z'
loop_
_atom_site_label
_atom_site_fract_x
_atom_site_fract_y
_atom_site_fract_z
_atom_site_occupancy
La1 0.948 0.634 0.157 1
La2 0.738 0.052 0.843 1
La3 0.366 0.738 0.843 1
La4 0.634 0.262 0.157 1
La5 0.262 0.948 0.157 1
La6 0.052 0.366 0.843 1
Si1 0.000 0.000 0.000 1
Br1 0.772 0.446 0.673 1
Br2 0.891 0.228 0.327 1
Br3 0.554 0.891 0.327 1
Br4 0.333 0.333 0.000 1
Br5 0.667 0.667 0.000 1
Br6 0.446 0.109 0.673 1
Br7 0.109 0.772 0.673 1
Br8 0.228 0.554 0.327 1

# 8
# LaSiBr GGA-PBE optimized geometry
# - SG = P3m1, No. 156
# - E_form (uncorrected) (eV/atom) = -0.4137
# - energy (Ry per atom) = -0.3250
data_LaSiBr
_symmetry_space_group_name_H-M 'P 1'
_symmetry_Int_Tables_number 1
_cell_length_a 5.074
_cell_length_b 5.074
_cell_length_c 3.648
_cell_angle_alpha 90.00
_cell_angle_beta 90.00
_cell_angle_gamma 120.00
loop_
_symmetry_equiv_pos_as_xyz
'x,y,z'
loop_
_atom_site_label
_atom_site_fract_x
_atom_site_fract_y
_atom_site_fract_z
_atom_site_occupancy
Br1 0.000 0.000 0.168 1
La1 0.667 0.333 0.166 1
Si1 0.333 0.667 0.666 1